## NaNbAsO5 (PBE)

Data for a relaxed structure of NaNbAsO5.

ρ, Mg/m³: 4.04
Formation energy from raw total energies, eV/atom: -1.853
M_tot, Bohr magnetons per cell: 0.0
Fermi-level density of states, states/eV per cell: 3.99

Cell lengths 5.7935, 5.7935, 7.6164 Å; angles 105.34, 105.34, 104.81 degrees
Closest atoms and distances in Å follow each position.
Atoms (fractional coordinates):
Na 0.3215 0.6785 0.2500  5 O 2.41-2.58
Na 0.6785 0.3215 0.7500  5 O 2.41-2.58
O 0.3052 0.8890 0.6074  1 As 1.81
O 0.0592 0.9408 0.2500  2 Nb 1.98
O 0.3673 0.2532 0.0959  1 As 1.78
O 0.2532 0.3673 0.5959  1 As 1.78
O 0.6327 0.7468 0.9041  1 As 1.78
O 0.8890 0.3052 0.1074  1 As 1.81
O 0.1110 0.6948 0.8926  1 As 1.81
O 0.7468 0.6327 0.4041  1 As 1.78
O 0.9408 0.0592 0.7500  2 Nb 1.98
O 0.6948 0.1110 0.3926  1 As 1.81
As 0.3166 0.6834 0.7500  4 O 1.78-1.81
As 0.6834 0.3166 0.2500  4 O 1.78-1.81
Nb 0.0000 0.0000 0.5000  6 O 1.98-2.07
Nb 0.0000 0.0000 0.0000  6 O 1.98-2.07

***

## NaNbRe2As (PBE)

Data for a relaxed structure of NaNbRe2As.

ρ, Mg/m³: 9.08
M_tot, Bohr magnetons per cell: 0.0
Total DFT energy (no corrections), Ha/atom: -0.2504
Fermi-level density of states, states/eV per cell: 6.17

Cell lengths 4.6246, 4.8168, 4.6246 Å; angles 90.00, 90.00, 90.00 degrees
Closest atoms and distances in Å follow each position.
Atoms (fractional coordinates):
As 0.0000 0.0000 0.0000  4 Re 2.31, 2 Nb 2.41
Re 0.0000 0.0000 0.5000  2 As 2.31
Re 0.5000 0.0000 0.0000  2 As 2.31
Nb 0.0000 0.5000 0.0000  2 As 2.41
Na 0.5000 0.5000 0.5000  4 Nb 3.27, 8 Re 3.34

***

## NaNbAsSe2 (PBE)

Data for a relaxed structure of NaNbAsSe2.

ρ, Mg/m³: 4.39
Formation energy from raw total energies, eV/atom: -0.396
M_tot, Bohr magnetons per cell: 0.0
Energy relative to the lowest polymorph listed for this composition, eV/atom: 0.000
Fermi-level density of states, states/eV per cell: 0.75

Cell lengths 5.0970, 5.0970, 5.0774 Å; angles 90.00, 90.00, 90.00 degrees
Closest atoms and distances in Å follow each position.
Atoms (fractional coordinates):
Nb 0.0000 0.0000 0.0000  2 As 2.54, 4 Se 2.55
Se 0.5000 0.0000 0.0000  2 Nb 2.55
Se 0.0000 0.5000 0.0000  2 Nb 2.55
Na 0.5000 0.5000 0.5000  8 Se 3.60, 4 As 3.60
As 0.0000 0.0000 0.5000  2 Nb 2.54

***

Question: Number 3 is which compound?
Answer: NaNbAsSe2